<A>
First-principles (PBE-GGA) data for an optimized crystal structure of VTeAuI2, as listed in the Alexandria database.

Results
M_tot (μB/cell): 0.0

Cell lengths 5.434, 5.434, 5.115 Å; angles 90.00, 90.00, 90.00 degrees
Atoms (fractional coordinates):
Te  0.000  0.000  0.500
V  0.000  0.000  0.000
I  0.000  0.500  0.000
I  0.500  0.000  0.000
Au  0.500  0.500  0.500

=====

<B>
First-principles (PBE-GGA) data for an optimized crystal structure of VTeAuI2, as listed in the Alexandria database.

Results
M_tot (μB/cell): 3.2

Cell lengths 5.507, 5.507, 5.715 Å; angles 90.00, 90.00, 90.00 degrees
Each line ends with the local moment (μB).
Atoms (fractional coordinates):
Au  0.000  0.000  0.000  0.00
Te  0.000  0.000  0.500  -0.21
I  0.000  0.500  0.000  -0.02
I  0.500  0.000  0.000  -0.02
V  0.500  0.500  0.500  3.08

=====

Energies in eV/atom, measured from the most stable structure: <A> 0.000; <B> 0.274.

=====

<A>
First-principles (PBE-GGA) data for an optimized crystal structure of Te2WAuI, as listed in the Alexandria database.

Results
M_tot (μB/cell): 0.4

Cell lengths 5.219, 5.219, 5.687 Å; angles 90.00, 90.00, 90.00 degrees
Each line ends with the local moment (μB).
Atoms (fractional coordinates):
I  0.000  0.000  0.500  0.02
W  0.000  0.000  0.000  0.33
Au  0.500  0.500  0.500  -0.01
Te  0.500  0.000  0.000  -0.01
Te  0.000  0.500  0.000  -0.01

=====

<B>
First-principles (PBE-GGA) data for an optimized crystal structure of Te2WAuI, as listed in the Alexandria database.

Results
M_tot (μB/cell): 3.4

Cell lengths 5.482, 5.482, 5.374 Å; angles 90.00, 90.00, 90.00 degrees
Each line ends with the local moment (μB).
Atoms (fractional coordinates):
Te  0.000  0.500  0.000  -0.29
Te  0.500  0.000  0.000  -0.29
Au  0.000  0.000  0.000  -0.02
I  0.000  0.000  0.500  -0.04
W  0.500  0.500  0.500  3.21

=====

Energies in eV/atom, measured from the most stable structure: <A> 0.000; <B> 0.693.